Record 1
PuBi3Pd (PBE-GGA, relaxed); space group = Amm2; energy relative to the elements = -244 meV per atom
1.0
4.721 0.000 0.000
0.000 4.800 0.000
0.000 -2.400 6.251
Pu Bi Pd
1 3 1
direct
0.500 0.047 0.094
0.000 0.522 0.044
0.500 0.753 0.506
0.000 0.252 0.505
0.500 0.385 0.770

***

Record 2
CaYRe2 (PBE-GGA, relaxed); space group = I-42d; energy relative to the elements = 1248 meV per atom; excess energy over the best structure of this formula in the dataset = 1.063 eV per atom
1.0
7.965 0.000 0.000
0.000 7.965 0.000
3.983 3.983 2.722
Y Re Ca
2 4 2
direct
0.000 0.000 0.000
0.750 0.250 0.500
0.375 0.375 0.750
0.625 0.125 0.250
0.125 0.625 0.250
0.875 0.875 0.750
0.250 0.750 0.500
0.500 0.500 0.000

***

Record 3
AcLaNdEr (PBE-GGA, relaxed); space group = F-43m; energy relative to the elements = 165 meV per atom; excess energy over the best structure of this formula in the dataset = 0.106 eV per atom
1.0
-5.844 0.871 -0.756
-3.138 -3.691 -3.466
-3.914 -3.770 2.440
Nd Ac Er La
1 1 1 1
direct
0.250 0.250 0.250
0.500 0.500 0.500
0.000 0.000 0.000
0.750 0.750 0.750